VASP calculation (PBE) on crystalline PrThPb at its relaxed geometry. Values from VASP.

Output
* space-group type: I4/mmm (139)
* D(E_F): 8.4 states/eV per cell
* ΔE_f: -0.38 eV per atom
* total moment: 0.00 μB/f.u.
* ΔE to the lowest computed polymorph: 0 meV/atom

Quantum ESPRESSO input file:
```
&SYSTEM
  ibrav = 0, nat = 6, ntyp = 3
/
ATOMIC_SPECIES
Pr 140.91 Pr.upf
Th 232.04 Th.upf
Pb 207.20 Pb.upf
CELL_PARAMETERS angstrom
-2.3336 2.3336 9.0988
2.3336 -2.3336 9.0988
2.3336 2.3336 -9.0988
ATOMIC_POSITIONS angstrom
Pr 0.0000 0.0000 3.1923
Pr 0.0000 0.0000 15.0053
Th 2.3336 0.0000 0.0000
Th 0.0000 2.3336 0.0000
Pb 0.0000 0.0000 6.5530
Pb 0.0000 0.0000 11.6447
```

=====

VASP calculation (PBE) on crystalline MgMnVS4 at its relaxed geometry. Values from VASP.

Output
* space-group type: Imm2 (44)
* uncorrected energy: -6.085 eV per atom
* D(E_F): 5.7 states/eV per cell
* total moment: 6.00 μB/f.u.

Quantum ESPRESSO input file:
```
&SYSTEM
  ibrav = 0, nat = 14, ntyp = 4
/
ATOMIC_SPECIES
Mg 24.30 Mg.upf
Mn 54.94 Mn.upf
V 50.94 V.upf
S 32.06 S.upf
CELL_PARAMETERS angstrom
-3.5340 3.6080 5.2959
3.5340 -3.6080 5.2959
3.5340 3.6080 -5.2959
ATOMIC_POSITIONS angstrom
Mg 0.0000 0.0000 0.0000
Mg 0.0000 3.6080 2.6065
Mn 3.5340 1.7706 1.4570
Mn 0.0000 1.8374 6.7529
V 1.9120 3.6080 -1.2698
V 1.6220 0.0000 4.0261
S 1.8730 0.0000 1.5857
S 5.1950 0.0000 1.5857
S 3.5340 1.8665 -1.1119
S 3.5340 -1.5788 3.9451
S 3.5340 1.5788 3.9451
S 1.9613 3.6080 1.1910
S 1.5727 0.0000 6.4869
S 0.0000 1.7415 4.1840
```